An optimized crystal structure of Gd2Zr2O7. Source: Alexandria, functional PBEsol.

Cell lengths 7.433, 7.433, 7.433 Å; angles 60.00, 60.00, 60.00 degrees
Fractional positions:
Gd1 0.000 0.000 0.000
Gd2 0.000 0.000 0.500
Gd3 0.000 0.500 0.000
Gd4 0.500 0.000 0.000
Zr1 0.000 0.500 0.500
Zr2 0.500 0.000 0.500
Zr3 0.500 0.500 0.000
Zr4 0.500 0.500 0.500
O1 0.125 0.125 0.125
O2 0.161 0.161 0.589
O3 0.161 0.589 0.161
O4 0.161 0.589 0.589
O5 0.411 0.411 0.839
O6 0.411 0.839 0.411
O7 0.411 0.839 0.839
O8 0.589 0.161 0.161
O9 0.589 0.161 0.589
O10 0.589 0.589 0.161
O11 0.839 0.411 0.411
O12 0.839 0.411 0.839
O13 0.839 0.839 0.411
O14 0.875 0.875 0.875

Values from the calculation:
Spin magnetization in μB per formula unit: 13.97
Formation energy (no corrections) in eV/f.u.: -38.473
Crystal system: cubic

=====

An optimized crystal structure of GdSi2Os2. Source: Alexandria, functional PBEsol.

Cell lengths 4.128, 4.128, 9.694 Å; angles 90.00, 90.00, 90.00 degrees
Fractional positions:
Gd1 0.000 0.000 0.000
Gd2 0.500 0.500 0.500
Si1 0.000 0.000 0.373
Si2 0.000 0.000 0.627
Si3 0.500 0.500 0.127
Si4 0.500 0.500 0.873
Os1 0.000 0.500 0.250
Os2 0.000 0.500 0.750
Os3 0.500 0.000 0.250
Os4 0.500 0.000 0.750

Values from the calculation:
Spin magnetization in μB per formula unit: 7.06
Formation energy (no corrections) in eV/f.u.: -3.727
Crystal system: tetragonal

=====

An optimized crystal structure of GdP5. Source: Alexandria, functional PBEsol.

Cell lengths 4.830, 9.397, 5.328 Å; angles 90.00, 103.75, 90.00 degrees
Fractional positions:
Gd1 0.019 0.250 0.356
Gd2 0.981 0.750 0.644
P1 0.271 0.250 0.905
P2 0.283 0.534 0.401
P3 0.283 0.966 0.401
P4 0.380 0.593 0.038
P5 0.380 0.907 0.038
P6 0.620 0.093 0.962
P7 0.620 0.407 0.962
P8 0.717 0.034 0.599
P9 0.717 0.466 0.599
P10 0.729 0.750 0.095

Values from the calculation:
VASP energy in eV/atom: -7.7840
Spin magnetization in μB per formula unit: 6.99
Crystal system: monoclinic

=====

An optimized crystal structure of GdPPd. Source: Alexandria, functional PBEsol.

Cell lengths 4.131, 4.131, 7.535 Å; angles 90.00, 90.00, 120.00 degrees
Fractional positions:
Gd1 0.000 0.000 0.000
Gd2 0.000 0.000 0.500
P1 0.333 0.667 0.250
P2 0.667 0.333 0.750
Pd1 0.333 0.667 0.750
Pd2 0.667 0.333 0.250

Values from the calculation:
VASP energy in eV/atom: -10.0395
Spin magnetization in μB per formula unit: 7.06
Crystal system: hexagonal

=====

An optimized crystal structure of GdPPt. Source: Alexandria, functional PBEsol.

Cell lengths 4.101, 4.101, 3.877 Å; angles 90.00, 90.00, 120.00 degrees
Fractional positions:
Gd1 0.000 0.000 0.000
P1 0.667 0.333 0.500
Pt1 0.333 0.667 0.500

Values from the calculation:
VASP energy in eV/atom: -10.4603
Spin magnetization in μB per formula unit: 7.13
Crystal system: hexagonal

=====

An optimized crystal structure of Gd5P12Ru19. Source: Alexandria, functional PBEsol.

Cell lengths 12.418, 12.418, 3.923 Å; angles 90.00, 90.00, 120.00 degrees
Fractional positions:
Gd1 0.000 0.816 0.000
Gd2 0.184 0.184 0.000
Gd3 0.333 0.667 0.500
Gd4 0.667 0.333 0.500
Gd5 0.816 0.000 0.000
P1 0.000 0.185 0.500
P2 0.000 0.627 0.500
P3 0.171 0.478 0.000
P4 0.185 0.000 0.500
P5 0.307 0.829 0.000
P6 0.373 0.373 0.500
P7 0.478 0.171 0.000
P8 0.522 0.693 0.000
P9 0.627 0.000 0.500
P10 0.693 0.522 0.000
P11 0.815 0.815 0.500
P12 0.829 0.307 0.000
Ru1 0.000 0.000 0.500
Ru2 0.000 0.283 0.000
Ru3 0.000 0.444 0.500
Ru4 0.125 0.634 0.000
Ru5 0.185 0.377 0.500
Ru6 0.193 0.815 0.500
Ru7 0.283 0.000 0.000
Ru8 0.366 0.491 0.000
Ru9 0.377 0.185 0.500
Ru10 0.444 0.000 0.500
Ru11 0.491 0.366 0.000
Ru12 0.509 0.875 0.000
Ru13 0.556 0.556 0.500
Ru14 0.623 0.807 0.500
Ru15 0.634 0.125 0.000
Ru16 0.717 0.717 0.000
Ru17 0.807 0.623 0.500
Ru18 0.815 0.193 0.500
Ru19 0.875 0.509 0.000

Values from the calculation:
VASP energy in eV/atom: -10.1990
Spin magnetization in μB per formula unit: 6.83
Crystal system: hexagonal